[1]
This record from the Alexandria database describes an optimized crystal structure of USnPd. The functional is GGA-PBE.

Geometry as POSCAR:
```
USnPd
1.0
4.840 0.000 0.000
-2.420 4.192 0.000
0.000 0.000 3.178
U Sn Pd
1 1 1
Direct
0.000 0.000 0.000 U
0.333 0.667 0.500 Sn
0.667 0.333 0.500 Pd
```

Values from the calculation:
Final energy = -7.140 eV per atom
Density of states at the Fermi level = 1.79 states/eV/atom
Crystal system = hexagonal
Energy of formation from the pure elements = -0.31 eV/atom

***

[2]
This record from the Alexandria database describes an optimized crystal structure of BeCoCl3. The functional is GGA-PBE.

Geometry as POSCAR:
```
BeCoCl3
1.0
4.490 0.000 0.000
0.000 4.490 0.000
0.000 0.000 4.490
Be Co Cl
1 1 3
Direct
0.000 0.000 0.000 Be
0.500 0.500 0.500 Co
0.000 0.000 0.500 Cl
0.000 0.500 0.000 Cl
0.500 0.000 0.000 Cl
```

Values from the calculation:
Final energy = -3.341 eV per atom
Density of states at the Fermi level = 2.62 states/eV/atom
Distance to the lowest polymorph of the same formula = 0.0 meV per atom
Crystal system = cubic
Formation energy (no corrections) = -0.0668 eV per atom

***

[3]
This record from the Alexandria database describes an optimized crystal structure of SrTaAu4. The functional is GGA-PBE.

Geometry as POSCAR:
```
SrTaAu4
1.0
0.000 3.982 3.982
3.982 0.000 3.982
3.982 3.982 0.000
Sr Ta Au
1 1 4
Direct
0.000 0.000 0.000 Sr
0.750 0.750 0.750 Ta
0.376 0.376 0.376 Au
0.376 0.376 0.873 Au
0.376 0.873 0.376 Au
0.873 0.376 0.376 Au
```

Values from the calculation:
Final energy = -4.280 eV per atom
Density of states at the Fermi level = 1.04 states/eV/atom
Crystal system = cubic
Energy of formation from the pure elements = 0.16 eV/atom

***

[4]
This record from the Alexandria database describes an optimized crystal structure of CdAg2Sb. The functional is GGA-PBE.

Geometry as POSCAR:
```
CdAg2Sb
1.0
-2.176 2.176 4.451
2.176 -2.176 4.451
2.176 2.176 -4.451
Cd Ag Sb
1 2 1
Direct
0.000 0.000 0.000 Cd
0.250 0.750 0.500 Ag
0.750 0.250 0.500 Ag
0.500 0.500 0.000 Sb
```

Values from the calculation:
Final energy = -2.622 eV per atom
Density of states at the Fermi level = 0.31 states/eV/atom
Distance to the lowest polymorph of the same formula = 18.9 meV per atom
Crystal system = tetragonal
Formation energy (no corrections) = 0.0633 eV per atom

***

Question: Which of these has the highest density of states at the Fermi level?
Answer: BeCoCl3

***

Question: Which of these has the highest final energy?
Answer: CdAg2Sb

***

Question: What is the density of states at the Fermi level in the first record?
Answer: 1.79 states/eV/atom

***

Question: Among the records above, which one has the highest final energy?
Answer: CdAg2Sb